Density functional theory data (GGA-PBE) for a geometry-optimized LaTb3Er structure.

abc: 3.6579 8.5611 11.6864
angles: 90.00 90.00 102.32
Last column: nearest neighbours and their distance in Å.
Positions (direct):
La  0.3076  0.1136  0.2500  6 Tb 3.31-3.54, 2 Er 3.42, 2 La 3.66
La  0.6924  0.8864  0.7500  6 Tb 3.31-3.54, 2 Er 3.42, 2 La 3.66
Tb  0.8484  0.1972  0.9975  6 Tb 3.43-3.77, 2 La 3.54, 1 Er 3.67
Tb  0.1516  0.8028  0.0025  6 Tb 3.43-3.77, 2 La 3.54, 1 Er 3.67
Tb  0.8484  0.1972  0.5025  6 Tb 3.43-3.77, 2 La 3.54, 1 Er 3.67
Tb  0.1516  0.8028  0.4975  6 Tb 3.43-3.77, 2 La 3.54, 1 Er 3.67
Tb  0.6423  0.7831  0.2500  2 Er 3.27, 2 La 3.31-3.32, 6 Tb 3.43-3.66
Tb  0.3577  0.2169  0.7500  2 Er 3.27, 2 La 3.31-3.32, 6 Tb 3.43-3.66
Er  0.9813  0.4590  0.2500  2 Tb 3.27, 2 La 3.42, 2 Er 3.66
Er  0.0187  0.5410  0.7500  2 Tb 3.27, 2 La 3.42, 2 Er 3.66

Values from the calculation:
**DFT formation energy**: 32.68 kJ per mole of atoms
**Energy**: -43.38 eV per cell
**Excess energy over the best structure of this formula in the dataset**: 0.317 eV per atom
**Volume**: 357.54 Å³/cell
**SG**: P2_1/m (11)

***

Density functional theory data (GGA-PBE) for a geometry-optimized LaTb2Er7 structure.

abc: 9.5376 9.5376 5.4524
angles: 90.00 90.00 128.80
Last column: nearest neighbours and their distance in Å.
Positions (direct):
La  0.0000  0.0000  0.0000  8 Er 3.60
Tb  0.2672  0.7328  0.5000  6 Er 3.29-3.56
Tb  0.7328  0.2672  0.5000  6 Er 3.29-3.56
Er  0.4004  0.5996  0.0000  3 Er 3.22-3.43, 2 Tb 3.56
Er  0.5996  0.4004  0.0000  3 Er 3.22-3.43, 2 Tb 3.56
Er  0.9067  0.7068  0.5000  2 Er 3.06-3.19, 2 Tb 3.29-3.41
Er  0.0933  0.2932  0.5000  2 Er 3.06-3.19, 2 Tb 3.29-3.41
Er  0.7068  0.9067  0.5000  2 Er 3.06-3.19, 2 Tb 3.29-3.41
Er  0.2932  0.0933  0.5000  2 Er 3.06-3.19, 2 Tb 3.29-3.41
Er  0.5000  0.5000  0.5000  8 Er 3.06-3.22

Values from the calculation:
**DFT formation energy**: 61.62 kJ per mole of atoms
**Energy**: -39.74 eV per cell
**Excess energy over the best structure of this formula in the dataset**: 0.000 eV per atom
**Volume**: 386.52 Å³/cell
**SG**: Cmmm (65)

***

Density functional theory data (GGA-PBE) for a geometry-optimized La6Tb2Er5 structure.

abc: 3.6428 11.7961 20.8020
angles: 90.00 90.00 90.00
Last column: nearest neighbours and their distance in Å.
Positions (direct):
La  0.0000  0.0819  0.3665  1 Tb 3.40, 6 Er 3.44-3.52, 4 La 3.52-3.64
La  0.0000  0.9181  0.6335  1 Tb 3.40, 6 Er 3.44-3.52, 4 La 3.52-3.64
La  0.0000  0.5819  0.1335  1 Tb 3.40, 6 Er 3.44-3.52, 4 La 3.52-3.64
La  0.0000  0.4181  0.8665  1 Tb 3.40, 6 Er 3.44-3.52, 4 La 3.52-3.64
La  0.5000  0.3263  0.1332  2 Er 3.34-3.45, 4 La 3.52-3.64, 2 Tb 3.73
La  0.5000  0.6737  0.8668  2 Er 3.34-3.45, 4 La 3.52-3.64, 2 Tb 3.73
La  0.5000  0.8263  0.3668  2 Er 3.34-3.45, 4 La 3.52-3.64, 2 Tb 3.73
La  0.5000  0.1737  0.6332  2 Er 3.34-3.45, 4 La 3.52-3.64, 2 Tb 3.73
La  0.0000  0.5576  0.4201  6 Er 3.58-3.78, 5 La 3.59-3.82, 1 Tb 3.76
La  0.0000  0.4424  0.5799  6 Er 3.58-3.78, 5 La 3.59-3.82, 1 Tb 3.76
La  0.0000  0.0576  0.0799  6 Er 3.58-3.78, 5 La 3.59-3.82, 1 Tb 3.76
La  0.0000  0.9424  0.9201  6 Er 3.58-3.78, 5 La 3.59-3.82, 1 Tb 3.76
Tb  0.0000  0.3366  0.2898  4 La 3.40-3.76, 6 Er 3.57-3.70, 2 Tb 3.64
Tb  0.0000  0.6634  0.7102  4 La 3.40-3.76, 6 Er 3.57-3.70, 2 Tb 3.64
Tb  0.0000  0.8366  0.2102  4 La 3.40-3.76, 6 Er 3.57-3.70, 2 Tb 3.64
Tb  0.0000  0.1634  0.7898  4 La 3.40-3.76, 6 Er 3.57-3.70, 2 Tb 3.64
Er  0.5000  0.2992  0.4429  6 La 3.52-3.78, 3 Er 3.64-3.72, 2 Tb 3.70
Er  0.5000  0.7008  0.5571  6 La 3.52-3.78, 3 Er 3.64-3.72, 2 Tb 3.70
Er  0.5000  0.7992  0.0571  6 La 3.52-3.78, 3 Er 3.64-3.72, 2 Tb 3.70
Er  0.5000  0.2008  0.9429  6 La 3.52-3.78, 3 Er 3.64-3.72, 2 Tb 3.70
Er  0.5000  0.5953  0.2737  5 La 3.34-3.58, 4 Tb 3.57-3.63, 2 Er 3.64
Er  0.5000  0.4047  0.7263  5 La 3.34-3.58, 4 Tb 3.57-3.63, 2 Er 3.64
Er  0.5000  0.0953  0.2263  5 La 3.34-3.58, 4 Tb 3.57-3.63, 2 Er 3.64
Er  0.5000  0.9047  0.7737  5 La 3.34-3.58, 4 Tb 3.57-3.63, 2 Er 3.64
Er  0.5000  0.5000  0.0000  6 La 3.45-3.46, 4 Er 3.64-3.72
Er  0.5000  0.0000  0.5000  6 La 3.45-3.46, 4 Er 3.64-3.72

Values from the calculation:
**DFT formation energy**: 11.04 kJ per mole of atoms
**Energy**: -120.30 eV per cell
**Volume**: 893.88 Å³/cell
**SG**: Pbam (55)

***

Density functional theory data (GGA-PBE) for a geometry-optimized LaTb2Er7 structure.

abc: 5.5920 9.1626 9.1626
angles: 123.52 90.00 90.00
Last column: nearest neighbours and their distance in Å.
Positions (direct):
La  0.0000  0.0000  0.0000  10 Er 3.49-3.69
Tb  0.5000  0.7031  0.2969  7 Er 3.08-3.30
Tb  0.5000  0.2969  0.7031  7 Er 3.08-3.30
Er  0.0000  0.7838  0.2162  2 Tb 3.08
Er  0.0000  0.2162  0.7838  2 Tb 3.08
Er  0.5000  0.0609  0.2918  2 Er 3.06-3.37, 2 Tb 3.14-3.30
Er  0.5000  0.9391  0.7082  2 Er 3.06-3.37, 2 Tb 3.14-3.30
Er  0.5000  0.2918  0.0609  2 Er 3.06-3.37, 2 Tb 3.14-3.30
Er  0.5000  0.7082  0.9391  2 Er 3.06-3.37, 2 Tb 3.14-3.30
Er  0.5000  0.5000  0.5000  2 Tb 3.28, 4 Er 3.37

Values from the calculation:
**DFT formation energy**: 67.66 kJ per mole of atoms
**Energy**: -39.12 eV per cell
**Excess energy over the best structure of this formula in the dataset**: 0.063 eV per atom
**Volume**: 391.39 Å³/cell
**SG**: Cmmm (65)

***

Density functional theory data (GGA-PBE) for a geometry-optimized La4Tb3Er2 structure.

abc: 3.6864 6.7667 14.6532
angles: 64.23 90.00 105.81
Last column: nearest neighbours and their distance in Å.
Positions (direct):
La  0.6483  0.2966  0.1280  3 Tb 3.64-3.73, 3 Er 3.67, 4 La 3.69-3.94
La  0.1122  0.2243  0.6065  5 Tb 3.49-3.67, 2 Er 3.57, 2 La 3.69
La  0.8878  0.7757  0.3935  5 Tb 3.49-3.67, 2 Er 3.57, 2 La 3.69
La  0.3517  0.7034  0.8720  3 Tb 3.64-3.73, 3 Er 3.67, 4 La 3.69-3.94
Tb  0.3816  0.7631  0.6127  3 Tb 3.35-3.69, 2 Er 3.41, 6 La 3.49-3.67
Tb  0.0000  0.0000  0.0000  4 Er 3.38, 2 Tb 3.69, 4 La 3.73
Tb  0.6184  0.2369  0.3873  3 Tb 3.35-3.69, 2 Er 3.41, 6 La 3.49-3.67
Er  0.3373  0.6745  0.2089  4 Tb 3.38-3.41, 5 La 3.57-3.67, 2 Er 3.69
Er  0.6627  0.3255  0.7911  4 Tb 3.38-3.41, 5 La 3.57-3.67, 2 Er 3.69

Values from the calculation:
**DFT formation energy**: 8.14 kJ per mole of atoms
**Energy**: -41.97 eV per cell
**Excess energy over the best structure of this formula in the dataset**: 0.053 eV per atom
**Volume**: 313.76 Å³/cell
**SG**: C2/m (12)

***

Density functional theory data (GGA-PBE) for a geometry-optimized La4Tb3Er structure.

abc: 3.4311 9.0236 9.0236
angles: 96.76 90.00 90.00
Last column: nearest neighbours and their distance in Å.
Positions (direct):
La  0.0000  0.7502  0.7502  4 Tb 3.37-3.45, 2 La 3.43, 2 Er 3.45
La  0.5000  0.2480  0.7520  1 Er 3.35, 5 Tb 3.40-3.45, 2 La 3.43
La  0.0000  0.2498  0.2498  4 Tb 3.37-3.45, 2 La 3.43, 2 Er 3.45
La  0.5000  0.7520  0.2480  1 Er 3.35, 5 Tb 3.40-3.45, 2 La 3.43
Tb  0.0000  0.0000  0.5000  6 La 3.37-3.45, 2 Tb 3.43
Tb  0.5000  0.5000  0.5000  6 La 3.40-3.45, 2 Tb 3.43
Tb  0.0000  0.5000  0.0000  6 La 3.37-3.45, 2 Tb 3.43
Er  0.5000  0.0000  0.0000  6 La 3.35-3.45, 2 Er 3.43

Values from the calculation:
**DFT formation energy**: 35.20 kJ per mole of atoms
**Energy**: -35.24 eV per cell
**Excess energy over the best structure of this formula in the dataset**: 0.139 eV per atom
**Volume**: 277.44 Å³/cell
**SG**: Cmmm (65)